Entry 1:
Li2TlAsO6: optimized geometry, PBE.

POSCAR file:
```
Li2TlAsO6
1.0
5.120 -5.605 0.000
5.120 5.605 0.000
-3.010 0.000 5.749
Li Tl As O
4 2 2 12
Cartesian
1.387 1.043 0.549
-0.118 -1.043 3.424
7.347 1.043 2.326
5.842 -1.043 5.200
2.862 1.370 4.312
4.367 -1.370 1.437
4.367 1.916 1.437
2.862 -1.916 4.312
-0.164 0.196 1.727
-1.669 -0.196 4.601
1.329 2.846 5.744
2.994 0.852 1.574
4.395 2.846 2.880
1.489 -0.852 4.449
5.740 0.852 1.300
2.834 -2.846 2.869
4.235 -0.852 4.175
5.900 -2.846 0.006
8.898 0.196 1.148
7.393 -0.196 4.023
```

Computed properties:
Calculated total energy, eV/atom: -5.222
Uncorrected formation energy, eV per atom: -1.16



Entry 2:
Y2CrIr: optimized geometry, PBE.

POSCAR file:
```
Y2CrIr
1.0
4.817 0.000 0.000
0.000 4.817 0.000
0.000 0.000 3.640
Y Cr Ir
2 1 1
Cartesian
0.000 2.409 0.000
2.409 0.000 0.000
0.000 0.000 1.820
2.409 2.409 1.820
```

Computed properties:
DFT formation energy, meV/atom: -223.6
Calculated total energy, eV/atom: -8.077



Entry 3:
SmEr3Al2: optimized geometry, PBE.

POSCAR file:
```
SmEr3Al2
1.0
7.885 -2.593 0.000
7.885 2.593 0.000
-4.373 0.000 7.791
Sm Er Al
2 6 4
Cartesian
1.283 0.000 1.405
10.114 0.000 6.386
-2.165 0.000 5.577
4.893 0.000 0.071
3.994 0.000 3.641
7.403 0.000 4.150
6.505 0.000 7.721
13.563 0.000 2.214
1.030 0.000 4.680
3.851 0.000 6.554
7.546 0.000 1.238
10.367 0.000 3.112
```

Computed properties:
DFT formation energy, meV/atom: -189.9
Calculated total energy, eV/atom: -4.505
Polymorph energy (0 for the lowest one), meV/atom: 68



Entry 4:
Sr2CaCd4In3: optimized geometry, PBE.

POSCAR file:
```
Sr2CaCd4In3
1.0
4.740 0.000 0.000
0.000 4.740 0.000
0.000 0.000 13.180
Sr Ca Cd In
2 1 4 3
Cartesian
0.000 2.370 2.979
2.370 0.000 10.201
0.000 0.000 6.590
0.000 0.000 0.000
0.000 2.370 8.598
2.370 0.000 4.582
2.370 2.370 0.000
0.000 2.370 11.428
2.370 0.000 1.752
2.370 2.370 6.590
```

Computed properties:
DFT formation energy, meV/atom: -293.0
Calculated total energy, eV/atom: -2.017



Entry 5:
PrTh2H8: optimized geometry, PBE.

POSCAR file:
```
PrTh2H8
1.0
-1.816 3.046 5.489
1.816 -3.046 5.489
1.816 3.046 -5.489
Pr Th H
1 2 8
Cartesian
0.000 0.000 0.000
0.000 0.000 3.624
0.000 0.000 7.353
1.816 -1.486 3.666
1.816 0.000 1.882
1.816 1.634 0.000
0.000 1.560 1.823
1.816 1.486 3.666
0.000 1.412 5.489
0.000 3.046 3.607
0.000 4.532 1.823
```

Computed properties:
Calculated total energy, eV/atom: -4.699



Entry 6:
CuAgPt2F: optimized geometry, PBE.

POSCAR file:
```
CuAgPt2F
1.0
4.344 0.000 0.000
0.000 4.344 0.000
0.000 0.000 4.475
Cu Ag Pt F
1 1 2 1
Cartesian
0.000 0.000 0.000
2.172 2.172 0.000
0.000 2.172 2.238
2.172 0.000 2.238
2.172 2.172 2.238
```

Computed properties:
Calculated total energy, eV/atom: -3.575
Uncorrected formation energy, eV per atom: 0.60



Entry 7:
YHo7Tm12: optimized geometry, PBE.

POSCAR file:
```
YHo7Tm12
1.0
-5.563 5.563 5.563
5.563 -5.563 5.563
5.563 5.563 -5.563
Y Ho Tm
1 7 12
Cartesian
0.000 0.000 0.000
2.782 2.782 -2.782
2.782 -2.782 2.782
5.563 0.000 0.000
-2.782 2.782 2.782
0.000 5.563 0.000
0.000 0.000 5.563
2.782 2.782 2.782
5.563 -2.756 2.766
2.807 2.797 0.000
8.319 2.797 0.000
2.766 5.563 -2.756
2.797 0.000 2.807
5.563 2.756 2.766
0.000 2.807 2.797
2.766 5.563 2.756
2.797 0.000 8.319
-2.756 2.766 5.563
2.756 2.766 5.563
0.000 8.319 2.797
```

Computed properties:
DFT formation energy, meV/atom: 747.4
Calculated total energy, eV/atom: -3.861
Polymorph energy (0 for the lowest one), meV/atom: 429



Entry 8:
PmBi4: optimized geometry, PBE.

POSCAR file:
```
PmBi4
1.0
4.907 -2.835 0.000
4.907 2.835 0.000
-3.282 0.000 5.710
Pm Bi
1 4
Cartesian
0.000 0.000 0.000
-0.004 0.000 3.748
3.266 0.000 1.213
3.266 0.000 4.497
6.536 0.000 1.962
```

Computed properties:
DFT formation energy, meV/atom: -218.6
Calculated total energy, eV/atom: -4.273
Polymorph energy (0 for the lowest one), meV/atom: 0



no.,M_tot (μB/f.u.)
1,1.0
2,3.3
3,0.1
4,0.0
5,0.0
6,0.0
7,0.0
8,0.0